Density functional theory data (PBE-GGA) for a relaxed CsNa10Cd2 crystal.

a = 9.050 Å, b = 9.050 Å, c = 11.822 Å
α = 90.00°, β = 90.00°, γ = 98.43°
Positions (direct):
Cs (0.122, 0.878, 0.750)
Cs (0.878, 0.122, 0.250)
Na (0.121, 0.406, 0.750)
Na (0.172, 0.828, 0.095)
Na (0.172, 0.828, 0.405)
Na (0.228, 0.228, 0.000)
Na (0.228, 0.228, 0.500)
Na (0.235, 0.475, 0.250)
Na (0.385, 0.615, 0.560)
Na (0.385, 0.615, 0.940)
Na (0.406, 0.121, 0.250)
Na (0.475, 0.235, 0.750)
Na (0.525, 0.765, 0.250)
Na (0.594, 0.879, 0.750)
Na (0.615, 0.385, 0.060)
Na (0.615, 0.385, 0.440)
Na (0.765, 0.525, 0.750)
Na (0.772, 0.772, 0.000)
Na (0.772, 0.772, 0.500)
Na (0.828, 0.172, 0.595)
Na (0.828, 0.172, 0.905)
Na (0.879, 0.594, 0.250)
Cd (0.000, 0.500, 0.000)
Cd (0.000, 0.500, 0.500)
Cd (0.500, 0.000, 0.000)
Cd (0.500, 0.000, 0.500)

Total DFT energy (no corrections) in eV for the cell shown: -32.2
Crystal system: orthorhombic

=====

Density functional theory data (PBE-GGA) for a relaxed CsNaCd crystal.

a = 8.850 Å, b = 8.850 Å, c = 8.850 Å
α = 147.20°, β = 127.28°, γ = 63.50°
Positions (direct):
Cs (0.197, 0.197, 0.000)
Cs (0.803, 0.803, 0.000)
Na (0.274, 0.500, 0.774)
Na (0.726, 0.500, 0.226)
Cd (0.404, 0.904, 0.500)
Cd (0.596, 0.096, 0.500)

Distance to the lowest polymorph of the same formula in meV per atom: 5
Total DFT energy (no corrections) in eV for the cell shown: -6.4
Crystal system: orthorhombic

=====

Density functional theory data (PBE-GGA) for a relaxed Cs3Na9Cd2 crystal.

a = 11.230 Å, b = 11.230 Å, c = 11.230 Å
α = 150.75°, β = 106.28°, γ = 81.21°
Positions (direct):
Cs (0.000, 0.000, 0.000)
Cs (0.316, 0.316, 0.000)
Cs (0.684, 0.684, 0.000)
Na (0.010, 0.676, 0.335)
Na (0.175, 0.893, 0.282)
Na (0.341, 0.676, 0.665)
Na (0.389, 0.107, 0.282)
Na (0.500, 0.000, 0.500)
Na (0.611, 0.893, 0.718)
Na (0.659, 0.324, 0.335)
Na (0.825, 0.107, 0.718)
Na (0.990, 0.324, 0.665)
Cd (0.300, 0.500, 0.800)
Cd (0.700, 0.500, 0.200)

Total DFT energy (no corrections) in eV for the cell shown: -16.1
Crystal system: orthorhombic

=====

Density functional theory data (PBE-GGA) for a relaxed CsNa3Cd crystal.

a = 7.621 Å, b = 7.621 Å, c = 7.621 Å
α = 90.00°, β = 90.00°, γ = 90.00°
Positions (direct):
Cs (0.000, 0.000, 0.000)
Na (0.000, 0.000, 0.500)
Na (0.000, 0.500, 0.000)
Na (0.500, 0.000, 0.000)
Cd (0.500, 0.500, 0.500)

Distance to the lowest polymorph of the same formula in meV per atom: 599
Total DFT energy (no corrections) in eV for the cell shown: -2.8
Crystal system: cubic

=====

Density functional theory data (PBE-GGA) for a relaxed Cs3NaCd crystal.

a = 7.497 Å, b = 7.497 Å, c = 7.497 Å
α = 90.00°, β = 90.00°, γ = 90.00°
Positions (direct):
Cs (0.000, 0.000, 0.500)
Cs (0.000, 0.500, 0.000)
Cs (0.500, 0.000, 0.000)
Na (0.500, 0.500, 0.500)
Cd (0.000, 0.000, 0.000)

Distance to the lowest polymorph of the same formula in meV per atom: 95
Total DFT energy (no corrections) in eV for the cell shown: -4.4
Crystal system: cubic

=====

Density functional theory data (PBE-GGA) for a relaxed CsNa2Cd crystal.

a = 5.430 Å, b = 5.430 Å, c = 6.211 Å
α = 90.00°, β = 90.00°, γ = 90.00°
Positions (direct):
Cs (0.000, 0.000, 0.000)
Na (0.000, 0.500, 0.500)
Na (0.500, 0.000, 0.500)
Cd (0.500, 0.500, 0.000)

Total DFT energy (no corrections) in eV for the cell shown: -4.1
Crystal system: tetragonal

=====

Density functional theory data (PBE-GGA) for a relaxed CsNaCd crystal.

a = 5.713 Å, b = 5.713 Å, c = 5.267 Å
α = 90.00°, β = 90.00°, γ = 120.00°
Positions (direct):
Cs (0.000, 0.000, 0.000)
Na (0.333, 0.667, 0.500)
Cd (0.667, 0.333, 0.500)

Distance to the lowest polymorph of the same formula in meV per atom: 38
Total DFT energy (no corrections) in eV for the cell shown: -3.1
Crystal system: hexagonal

=====

Density functional theory data (PBE-GGA) for a relaxed CsNa3Cd3 crystal.

a = 11.944 Å, b = 11.944 Å, c = 11.944 Å
α = 37.51°, β = 37.51°, γ = 37.51°
Positions (direct):
Cs (0.199, 0.199, 0.199)
Cs (0.801, 0.801, 0.801)
Na (0.190, 0.295, 0.740)
Na (0.260, 0.810, 0.705)
Na (0.295, 0.740, 0.190)
Na (0.705, 0.260, 0.810)
Na (0.740, 0.190, 0.295)
Na (0.810, 0.705, 0.260)
Cd (0.106, 0.275, 0.562)
Cd (0.275, 0.562, 0.106)
Cd (0.438, 0.894, 0.725)
Cd (0.562, 0.106, 0.275)
Cd (0.725, 0.438, 0.894)
Cd (0.894, 0.725, 0.438)

Distance to the lowest polymorph of the same formula in meV per atom: 0
Total DFT energy (no corrections) in eV for the cell shown: -14.9
Crystal system: trigonal

=====

Density functional theory data (PBE-GGA) for a relaxed CsNa2Cd6 crystal.

a = 9.221 Å, b = 9.221 Å, c = 3.650 Å
α = 90.00°, β = 90.00°, γ = 120.00°
Positions (direct):
Cs (0.000, 0.000, 0.000)
Na (0.333, 0.667, 0.000)
Na (0.667, 0.333, 0.000)
Cd (0.000, 0.345, 0.500)
Cd (0.000, 0.655, 0.500)
Cd (0.345, 0.000, 0.500)
Cd (0.345, 0.345, 0.500)
Cd (0.655, 0.000, 0.500)
Cd (0.655, 0.655, 0.500)

Total DFT energy (no corrections) in eV for the cell shown: -9.1
Crystal system: hexagonal

=====

Density functional theory data (PBE-GGA) for a relaxed CsNa3Cd3 crystal.

a = 8.641 Å, b = 8.641 Å, c = 8.641 Å
α = 90.00°, β = 90.00°, γ = 90.00°
Positions (direct):
Cs (0.000, 0.000, 0.000)
Cs (0.500, 0.500, 0.500)
Na (0.000, 0.250, 0.500)
Na (0.000, 0.750, 0.500)
Na (0.250, 0.500, 0.000)
Na (0.500, 0.000, 0.250)
Na (0.500, 0.000, 0.750)
Na (0.750, 0.500, 0.000)
Cd (0.000, 0.500, 0.250)
Cd (0.000, 0.500, 0.750)
Cd (0.250, 0.000, 0.500)
Cd (0.500, 0.250, 0.000)
Cd (0.500, 0.750, 0.000)
Cd (0.750, 0.000, 0.500)

Distance to the lowest polymorph of the same formula in meV per atom: 131
Total DFT energy (no corrections) in eV for the cell shown: -13.1
Crystal system: cubic

=====

Density functional theory data (PBE-GGA) for a relaxed Cs2NaCd5 crystal.

a = 10.128 Å, b = 10.128 Å, c = 11.072 Å
α = 90.00°, β = 90.00°, γ = 148.30°
Positions (direct):
Cs (0.000, 0.000, 0.000)
Cs (0.000, 0.000, 0.500)
Cs (0.197, 0.803, 0.750)
Cs (0.803, 0.197, 0.250)
Na (0.441, 0.559, 0.250)
Na (0.559, 0.441, 0.750)
Cd (0.190, 0.810, 0.113)
Cd (0.190, 0.810, 0.387)
Cd (0.339, 0.661, 0.006)
Cd (0.339, 0.661, 0.494)
Cd (0.393, 0.607, 0.750)
Cd (0.607, 0.393, 0.250)
Cd (0.661, 0.339, 0.506)
Cd (0.661, 0.339, 0.994)
Cd (0.810, 0.190, 0.613)
Cd (0.810, 0.190, 0.887)

Total DFT energy (no corrections) in eV for the cell shown: -15.4
Crystal system: orthorhombic

=====

Density functional theory data (PBE-GGA) for a relaxed Cs2NaCd3 crystal.

a = 6.885 Å, b = 6.885 Å, c = 6.990 Å
α = 119.05°, β = 119.05°, γ = 60.93°
Positions (direct):
Cs (0.122, 0.122, 0.366)
Cs (0.878, 0.878, 0.634)
Na (0.500, 0.500, 0.500)
Cd (0.000, 0.500, 0.000)
Cd (0.500, 0.000, 0.000)
Cd (0.500, 0.500, 0.000)

Total DFT energy (no corrections) in eV for the cell shown: -5.9
Crystal system: monoclinic

=====

Among the records above, which one has the highest total DFT energy (no corrections)?
CsNa3Cd